No. 1
The following is a PBE calculation of crystalline Ba2ZrPt at its relaxed geometry, from Alexandria via LeMat-Bulk.

As for the formation energy: -1.03 eV/f.u. As for the density of states at the Fermi level: 6.449 states/eV/f.u.

Lattice parameters (Å, degrees): 3.7008 3.7008 10.1774 90.00 90.00 90.00
With the nearest neighbours (Å) after each atom.
Sites, in units of the cell vectors:
1 Ba 0.0000 0.0000 0.0000  4 Ba 3.70, 1 Pt 3.83, 4 Zr 3.91
2 Ba 0.5000 0.5000 0.3813  1 Zr 3.39, 4 Pt 3.60, 4 Ba 3.70
3 Zr 0.5000 0.5000 0.7149  4 Pt 2.78
4 Pt 0.0000 0.0000 0.6237  4 Zr 2.78

No. 2
The following is a PBE calculation of crystalline BaZrPt2 at its relaxed geometry, from Alexandria via LeMat-Bulk.

As for the formation energy: -3.26 eV/f.u. As for the density of states at the Fermi level: 3.046 states/eV/f.u.

Lattice parameters (Å, degrees): 3.4595 3.5065 7.7640 90.00 90.00 90.00
With the nearest neighbours (Å) after each atom.
Sites, in units of the cell vectors:
1 Ba 0.0000 0.0000 0.0000  4 Ba 3.46-3.51, 8 Pt 3.47
2 Zr 0.0000 0.0000 0.5000  8 Pt 2.85
3 Pt 0.5000 0.5000 0.3150  4 Zr 2.85, 1 Pt 2.87
4 Pt 0.5000 0.5000 0.6850  4 Zr 2.85, 1 Pt 2.87

No. 3
The following is a PBE calculation of crystalline Ba2ZrPt at its relaxed geometry, from Alexandria via LeMat-Bulk.

As for the formation energy: 1.31 eV/f.u. As for the density of states at the Fermi level: 6.448 states/eV/f.u.

Lattice parameters (Å, degrees): 7.7039 7.7039 7.7039 90.00 90.00 90.00
With the nearest neighbours (Å) after each atom.
Sites, in units of the cell vectors:
1 Ba 0.0000 0.0000 0.0000  4 Pt 3.34, 4 Ba 3.34
2 Ba 0.0000 0.5000 0.5000  4 Pt 3.34, 4 Ba 3.34
3 Ba 0.2500 0.2500 0.2500  4 Ba 3.34, 4 Zr 3.34
4 Ba 0.2500 0.7500 0.7500  4 Ba 3.34, 4 Zr 3.34
5 Ba 0.5000 0.0000 0.5000  4 Pt 3.34, 4 Ba 3.34
6 Ba 0.5000 0.5000 0.0000  4 Pt 3.34, 4 Ba 3.34
7 Ba 0.7500 0.2500 0.7500  4 Ba 3.34, 4 Zr 3.34
8 Ba 0.7500 0.7500 0.2500  4 Ba 3.34, 4 Zr 3.34
9 Zr 0.0000 0.0000 0.5000  4 Ba 3.34, 4 Pt 3.34
10 Zr 0.0000 0.5000 0.0000  4 Ba 3.34, 4 Pt 3.34
11 Zr 0.5000 0.0000 0.0000  4 Ba 3.34, 4 Pt 3.34
12 Zr 0.5000 0.5000 0.5000  4 Ba 3.34, 4 Pt 3.34
13 Pt 0.2500 0.2500 0.7500  4 Zr 3.34, 4 Ba 3.34
14 Pt 0.2500 0.7500 0.2500  4 Zr 3.34, 4 Ba 3.34
15 Pt 0.7500 0.2500 0.2500  4 Zr 3.34, 4 Ba 3.34
16 Pt 0.7500 0.7500 0.7500  4 Zr 3.34, 4 Ba 3.34